Record 1
A plane-wave DFT calculation with PBE-GGA was carried out for an optimized crystal structure of NiOs2Se5.

volume: 21.97 A^3/atom
E_tot: -5.806 eV/atom

Unit cell a=6.7241 b=6.7241 c=15.0458 alpha=90.01 beta=90.01 gamma=148.89
With the nearest neighbours (Å) after each atom.
Atoms (fractional coordinates):
Se 0.1641 0.8359 0.4498  3 Os 2.54-2.58
Se 0.4106 0.5894 0.3661  1 Ni 2.29, 2 Os 2.49
Se 0.6694 0.3306 0.2500  2 Ni 2.44, 2 Os 2.50
Se 0.5894 0.4106 0.8661  1 Ni 2.29, 2 Os 2.49
Se 0.3306 0.6694 0.7500  2 Ni 2.44, 2 Os 2.50
Se 0.4106 0.5894 0.1339  1 Ni 2.29, 2 Os 2.49
Se 0.5894 0.4106 0.6339  1 Ni 2.29, 2 Os 2.49
Se 0.1641 0.8359 0.0502  3 Os 2.54-2.58
Se 0.8359 0.1641 0.9498  3 Os 2.54-2.58
Se 0.8359 0.1641 0.5502  3 Os 2.54-2.58
Os 0.7802 0.2199 0.1142  6 Se 2.49-2.58, 2 Ni 2.73
Os 0.2198 0.7801 0.8858  6 Se 2.49-2.58, 2 Ni 2.73
Os 0.7801 0.2198 0.3858  6 Se 2.49-2.58, 2 Ni 2.73
Os 0.2199 0.7802 0.6142  6 Se 2.49-2.58, 2 Ni 2.73
Ni 0.7040 0.2960 0.7500  4 Se 2.29-2.44
Ni 0.2960 0.7040 0.2500  4 Se 2.29-2.44



Record 2
A plane-wave DFT calculation with PBE-GGA was carried out for an optimized crystal structure of SiTcNiOs.

volume: 13.18 A^3/atom
E_tot: -8.079 eV/atom

Unit cell a=4.2084 b=4.2084 c=4.2084 alpha=60.00 beta=60.00 gamma=60.00
With the nearest neighbours (Å) after each atom.
Atoms (fractional coordinates):
Si 0.0000 0.0000 0.0000  4 Tc 2.58, 4 Ni 2.58
Tc 0.2500 0.2500 0.2500  4 Os 2.58, 4 Si 2.58
Ni 0.7500 0.7500 0.7500  4 Os 2.58, 4 Si 2.58
Os 0.5000 0.5000 0.5000  4 Tc 2.58, 4 Ni 2.58



Record 3
A plane-wave DFT calculation with PBE-GGA was carried out for an optimized crystal structure of SmNiOs.

volume: 19.98 A^3/atom
E_tot: -6.747 eV/atom
energy relative to the lowest polymorph listed for this composition: 0 meV/atom
formation energy: 122 kJ/mol of formula units

Unit cell a=4.3926 b=4.3926 c=4.3926 alpha=60.00 beta=60.00 gamma=60.00
With the nearest neighbours (Å) after each atom.
Atoms (fractional coordinates):
Sm 0.7500 0.7500 0.7500  4 Ni 2.69
Os 0.2500 0.2500 0.2500  4 Ni 2.69
Ni 0.0000 0.0000 0.0000  4 Sm 2.69, 4 Os 2.69